1.
The following is a PBE calculation of a relaxed structure of K2SnRh, from the Alexandria database.

Computed properties:
For the spin magnetization, the calculation gives 0.0 μB per formula unit. The value obtained for the formation energy from the elements is 652.8 meV per atom. The final energy comes out at -2.7345 eV/atom.

The structure in CIF format:
```
data_K2SnRh
_cell_length_a 7.801
_cell_length_b 7.801
_cell_length_c 7.801
_cell_angle_alpha 90.00
_cell_angle_beta 90.00
_cell_angle_gamma 90.00
_symmetry_space_group_name_H-M 'F m -3 m'
_symmetry_Int_Tables_number 225
_symmetry_space_group_name_Hall '-F 4 2 3'
loop_
_atom_site_label
_atom_site_type_symbol
_atom_site_fract_x
_atom_site_fract_y
_atom_site_fract_z
K1 K 0.250 0.250 0.250
Sn1 Sn 0.000 0.000 0.000
Rh1 Rh 0.000 0.000 0.500
```


2.
The following is a PBE calculation of a relaxed structure of K2SnRh, from the Alexandria database.

Computed properties:
For the spin magnetization, the calculation gives 0.0 μB per formula unit. The value obtained for the formation energy from the elements is 135.7 meV per atom. The final energy comes out at -3.2516 eV/atom.

The structure in CIF format:
```
data_K2SnRh
_cell_length_a 12.169
_cell_length_b 12.169
_cell_length_c 5.024
_cell_angle_alpha 90.00
_cell_angle_beta 90.00
_cell_angle_gamma 90.00
_symmetry_space_group_name_H-M 'I -4 2 d'
_symmetry_Int_Tables_number 122
_symmetry_space_group_name_Hall 'I -4 2bw'
loop_
_atom_site_label
_atom_site_type_symbol
_atom_site_fract_x
_atom_site_fract_y
_atom_site_fract_z
K1 K 0.067 0.250 0.125
Sn1 Sn 0.000 0.000 0.500
Rh1 Rh 0.000 0.000 0.000
```


3.
The following is a PBE calculation of a relaxed structure of KTl2SnRh, from the Alexandria database.

Computed properties:
For the spin magnetization, the calculation gives 0.0 μB per formula unit. The value obtained for the formation energy from the elements is -67.6 meV per atom. The final energy comes out at -3.5044 eV/atom.

The structure in CIF format:
```
data_KTl2SnRh
_cell_length_a 5.373
_cell_length_b 5.373
_cell_length_c 5.256
_cell_angle_alpha 90.00
_cell_angle_beta 90.00
_cell_angle_gamma 90.00
_symmetry_space_group_name_H-M 'P 4/m m m'
_symmetry_Int_Tables_number 123
_symmetry_space_group_name_Hall '-P 4 2'
loop_
_atom_site_label
_atom_site_type_symbol
_atom_site_fract_x
_atom_site_fract_y
_atom_site_fract_z
K1 K 0.000 0.000 0.000
Tl1 Tl 0.000 0.500 0.500
Sn1 Sn 0.500 0.500 0.000
Rh1 Rh 0.500 0.500 0.500
```


4.
The following is a PBE calculation of a relaxed structure of KZnSn2Rh, from the Alexandria database.

Computed properties:
For the spin magnetization, the calculation gives 0.0 μB per formula unit. The value obtained for the formation energy from the elements is -125.6 meV per atom. The final energy comes out at -3.6713 eV/atom.

The structure in CIF format:
```
data_KZnSn2Rh
_cell_length_a 5.172
_cell_length_b 5.172
_cell_length_c 5.018
_cell_angle_alpha 90.00
_cell_angle_beta 90.00
_cell_angle_gamma 90.00
_symmetry_space_group_name_H-M 'P 4/m m m'
_symmetry_Int_Tables_number 123
_symmetry_space_group_name_Hall '-P 4 2'
loop_
_atom_site_label
_atom_site_type_symbol
_atom_site_fract_x
_atom_site_fract_y
_atom_site_fract_z
K1 K 0.000 0.000 0.000
Zn1 Zn 0.500 0.500 0.000
Sn1 Sn 0.000 0.500 0.500
Rh1 Rh 0.500 0.500 0.500
```


Question: Which value of formation energy from the elements does entry 3 give?
Answer: -67.6 meV per atom